Here is CaIn3Pt after structural relaxation from the Alexandria database. Energies are from PBE.

The structure belongs to space group Pnma (No. 62); the cell edges are 7.6289, 10.3959 and 6.2784 Å and the angles 90.00°, 90.00° and 90.00°. The asymmetric unit holds Ca at (0.2011, 0.2500, 0.1774), In at (0.0341, 0.2500, 0.6530), In at (0.1590, 0.5561, 0.1020) and Pt at (0.0000, 0.0000, 0.5000).

The calculated formation energy comes out at -0.375 eV per atom.